Compound: NiAgS2
Source: the Alexandria database
Functional: PBE
Structure: relaxed

Results
space group = P6_3/mmc
DOS at the Fermi energy = 0.4578 states/eV per atom
M_tot = 0.00 μB per cell
DFT total energy = -4.402 eV per atom

abc: 3.3925 3.3925 14.3679
angles: 90.00 90.00 120.00
Positions (direct):
1 Ni 0.0000 0.0000 0.0000
2 Ni 0.0000 0.0000 0.5000
3 Ag 0.3333 0.6667 0.2500
4 Ag 0.6667 0.3333 0.7500
5 S 0.3333 0.6667 0.0825
6 S 0.3333 0.6667 0.4175
7 S 0.6667 0.3333 0.5825
8 S 0.6667 0.3333 0.9175